# Li3Ca4 meta-GGA SCAN PBEsol geometry
# Crystal system ... hexagonal
# ΔH_f (0 K) ... 41 meV per atom
data_Li3Ca4
_chemical_formula_sum 'Li3 Ca4'
_symmetry_space_group_name_H-M 'P 1'
_symmetry_Int_Tables_number 1
_cell_length_a 6.2486
_cell_length_b 6.2486
_cell_length_c 6.7932
_cell_angle_alpha 90.00
_cell_angle_beta 90.00
_cell_angle_gamma 120.00
loop_
_symmetry_equiv_pos_as_xyz
'x,y,z'
loop_
_atom_site_label
_atom_site_type_symbol
_atom_site_fract_x
_atom_site_fract_y
_atom_site_fract_z
Ca1 Ca 0.0000 0.0000 0.7483
Ca2 Ca 0.3333 0.6667 0.5000
Ca3 Ca 0.6667 0.3333 0.5000
Ca4 Ca 0.0000 0.0000 0.2517
Li1 Li 0.5000 0.0000 0.0000
Li2 Li 0.5000 0.5000 0.0000
Li3 Li 0.0000 0.5000 0.0000



# K2InTe meta-GGA SCAN PBEsol geometry
# Uncorrected formation energy ... -475 meV per atom
# Crystal system ... orthorhombic
# Energy above the lowest structure with this stoichiometry ... 0.1319 eV/atom
data_K2InTe
_chemical_formula_sum 'K2 In1 Te1'
_symmetry_space_group_name_H-M 'P 1'
_symmetry_Int_Tables_number 1
_cell_length_a 3.4737
_cell_length_b 6.3622
_cell_length_c 6.3622
_cell_angle_alpha 110.16
_cell_angle_beta 90.00
_cell_angle_gamma 90.00
loop_
_symmetry_equiv_pos_as_xyz
'x,y,z'
loop_
_atom_site_label
_atom_site_type_symbol
_atom_site_fract_x
_atom_site_fract_y
_atom_site_fract_z
In1 In 0.5000 0.5000 0.5000
Te1 Te 0.5000 0.0000 0.0000
K1 K 0.0000 0.5000 0.0000
K2 K 0.0000 0.0000 0.5000



# MgSi2SnO6 meta-GGA SCAN PBEsol geometry
# Uncorrected formation energy ... -2668 meV per atom
# Crystal system ... orthorhombic
# Energy above the lowest structure with this stoichiometry ... 0.0000 eV/atom
data_MgSi2SnO6
_chemical_formula_sum 'Mg8 Si16 Sn8 O48'
_symmetry_space_group_name_H-M 'P 1'
_symmetry_Int_Tables_number 1
_cell_length_a 5.3743
_cell_length_b 9.0971
_cell_length_c 19.2432
_cell_angle_alpha 90.00
_cell_angle_beta 90.00
_cell_angle_gamma 90.00
loop_
_symmetry_equiv_pos_as_xyz
'x,y,z'
loop_
_atom_site_label
_atom_site_type_symbol
_atom_site_fract_x
_atom_site_fract_y
_atom_site_fract_z
Sn1 Sn 0.6267 0.0358 0.8785
Sn2 Sn 0.8733 0.5358 0.1215
Sn3 Sn 0.8733 0.0358 0.3785
Sn4 Sn 0.1267 0.4642 0.8785
Sn5 Sn 0.3733 0.4642 0.3785
Sn6 Sn 0.6267 0.5358 0.6215
Sn7 Sn 0.1267 0.9642 0.6215
Sn8 Sn 0.3733 0.9642 0.1215
O1 O 0.7058 0.8345 0.4303
O2 O 0.7058 0.3345 0.0697
O3 O 0.7590 0.7621 0.7095
O4 O 0.9341 0.2322 0.9584
O5 O 0.2430 0.0024 0.9468
O6 O 0.7570 0.4976 0.4468
O7 O 0.5659 0.7322 0.0416
O8 O 0.9772 0.5016 0.6954
O9 O 0.2570 0.0024 0.4468
O10 O 0.7942 0.8345 0.9303
O11 O 0.2058 0.6655 0.4303
O12 O 0.9772 0.0016 0.8046
O13 O 0.5228 0.5016 0.1954
O14 O 0.5228 0.0016 0.3046
O15 O 0.5267 0.1610 0.1798
O16 O 0.2430 0.5024 0.5532
O17 O 0.0267 0.8390 0.3202
O18 O 0.7942 0.3345 0.5697
O19 O 0.4733 0.8390 0.8202
O20 O 0.2410 0.7379 0.2095
O21 O 0.7590 0.2621 0.7905
O22 O 0.2570 0.5024 0.0532
O23 O 0.9733 0.1610 0.6798
O24 O 0.7430 0.4976 0.9468
O25 O 0.5659 0.2322 0.4584
O26 O 0.9341 0.7322 0.5416
O27 O 0.4341 0.7678 0.5416
O28 O 0.2942 0.6655 0.9303
O29 O 0.0267 0.3390 0.1798
O30 O 0.2410 0.2379 0.2905
O31 O 0.2942 0.1655 0.5697
O32 O 0.4733 0.3390 0.6798
O33 O 0.0228 0.4984 0.3046
O34 O 0.5267 0.6610 0.3202
O35 O 0.4341 0.2678 0.9584
O36 O 0.9733 0.6610 0.8202
O37 O 0.2590 0.7379 0.7095
O38 O 0.4772 0.9984 0.6954
O39 O 0.0228 0.9984 0.1954
O40 O 0.2058 0.1655 0.0697
O41 O 0.0659 0.2678 0.4584
O42 O 0.7430 0.9976 0.5532
O43 O 0.4772 0.4984 0.8046
O44 O 0.2590 0.2379 0.7905
O45 O 0.7410 0.7621 0.2095
O46 O 0.7410 0.2621 0.2905
O47 O 0.7570 0.9976 0.0532
O48 O 0.0659 0.7678 0.0416
Si1 Si 0.0024 0.3415 0.2653
Si2 Si 0.7992 0.3407 0.4841
Si3 Si 0.7008 0.8407 0.5159
Si4 Si 0.7008 0.3407 0.9841
Si5 Si 0.5024 0.6585 0.2347
Si6 Si 0.9976 0.1585 0.7653
Si7 Si 0.7992 0.8407 0.0159
Si8 Si 0.0024 0.8415 0.2347
Si9 Si 0.2992 0.1593 0.4841
Si10 Si 0.2008 0.6593 0.5159
Si11 Si 0.4976 0.8415 0.7347
Si12 Si 0.5024 0.1585 0.2653
Si13 Si 0.2992 0.6593 0.0159
Si14 Si 0.2008 0.1593 0.9841
Si15 Si 0.9976 0.6585 0.7347
Si16 Si 0.4976 0.3415 0.7653
Mg1 Mg 0.8722 0.1513 0.1257
Mg2 Mg 0.1278 0.8487 0.8743
Mg3 Mg 0.1278 0.3487 0.6257
Mg4 Mg 0.3722 0.8487 0.3743
Mg5 Mg 0.6278 0.6513 0.8743
Mg6 Mg 0.3722 0.3487 0.1257
Mg7 Mg 0.8722 0.6513 0.3743
Mg8 Mg 0.6278 0.1513 0.6257



# TlH2Ir meta-GGA SCAN PBEsol geometry
# Crystal system ... tetragonal
# Total DFT energy (no corrections) ... -149.33 eV per formula unit
data_TlH2Ir
_chemical_formula_sum 'Tl2 H4 Ir2'
_symmetry_space_group_name_H-M 'P 1'
_symmetry_Int_Tables_number 1
_cell_length_a 4.9756
_cell_length_b 4.9756
_cell_length_c 4.9756
_cell_angle_alpha 107.15
_cell_angle_beta 107.15
_cell_angle_gamma 114.23
loop_
_symmetry_equiv_pos_as_xyz
'x,y,z'
loop_
_atom_site_label
_atom_site_type_symbol
_atom_site_fract_x
_atom_site_fract_y
_atom_site_fract_z
Tl1 Tl 0.2500 0.7500 0.5000
Tl2 Tl 0.0000 0.0000 0.0000
H1 H 0.1250 0.4863 0.8613
H2 H 0.6250 0.2637 0.1387
H3 H 0.7363 0.8750 0.3613
H4 H 0.5137 0.3750 0.6387
Ir1 Ir 0.7500 0.2500 0.5000
Ir2 Ir 0.5000 0.5000 0.0000



# Cd2MoCl meta-GGA SCAN PBEsol geometry
# Uncorrected formation energy ... 725 meV per atom
# Crystal system ... cubic
# Energy above the lowest structure with this stoichiometry ... 0.3258 eV/atom
data_Cd2MoCl
_chemical_formula_sum 'Cd2 Mo1 Cl1'
_symmetry_space_group_name_H-M 'P 1'
_symmetry_Int_Tables_number 1
_cell_length_a 4.9324
_cell_length_b 4.9324
_cell_length_c 4.9324
_cell_angle_alpha 60.00
_cell_angle_beta 60.00
_cell_angle_gamma 60.00
loop_
_symmetry_equiv_pos_as_xyz
'x,y,z'
loop_
_atom_site_label
_atom_site_type_symbol
_atom_site_fract_x
_atom_site_fract_y
_atom_site_fract_z
Cl1 Cl 0.0000 0.0000 0.0000
Mo1 Mo 0.5000 0.5000 0.5000
Cd1 Cd 0.7500 0.7500 0.7500
Cd2 Cd 0.2500 0.2500 0.2500



# ScSi2PtI meta-GGA SCAN PBEsol geometry
# Uncorrected formation energy ... 402 meV per atom
# Crystal system ... tetragonal
data_ScSi2PtI
_chemical_formula_sum 'Sc1 Si2 Pt1 I1'
_symmetry_space_group_name_H-M 'P 1'
_symmetry_Int_Tables_number 1
_cell_length_a 4.6137
_cell_length_b 4.6137
_cell_length_c 5.6231
_cell_angle_alpha 90.00
_cell_angle_beta 90.00
_cell_angle_gamma 90.00
loop_
_symmetry_equiv_pos_as_xyz
'x,y,z'
loop_
_atom_site_label
_atom_site_type_symbol
_atom_site_fract_x
_atom_site_fract_y
_atom_site_fract_z
Si1 Si 0.5000 0.0000 0.0000
Si2 Si 0.0000 0.5000 0.0000
I1 I 0.0000 0.0000 0.5000
Sc1 Sc 0.5000 0.5000 0.5000
Pt1 Pt 0.0000 0.0000 0.0000



# MnCr2Se4 meta-GGA SCAN PBEsol geometry
# Uncorrected formation energy ... -866 meV per atom
# Crystal system ... monoclinic
data_MnCr2Se4
_chemical_formula_sum 'Mn1 Cr2 Se4'
_symmetry_space_group_name_H-M 'P 1'
_symmetry_Int_Tables_number 1
_cell_length_a 3.6296
_cell_length_b 6.2708
_cell_length_c 6.7413
_cell_angle_alpha 117.40
_cell_angle_beta 105.62
_cell_angle_gamma 90.00
loop_
_symmetry_equiv_pos_as_xyz
'x,y,z'
loop_
_atom_site_label
_atom_site_type_symbol
_atom_site_fract_x
_atom_site_fract_y
_atom_site_fract_z
Se1 Se 0.3667 0.0302 0.7335
Se2 Se 0.8785 0.5449 0.7571
Se3 Se 0.1215 0.4551 0.2429
Se4 Se 0.6333 0.9698 0.2665
Cr1 Cr 0.7432 0.7252 0.4863
Cr2 Cr 0.2568 0.2748 0.5137
Mn1 Mn 0.0000 0.0000 0.0000



# Hf2HgGeAu meta-GGA SCAN PBEsol geometry
# Crystal system ... tetragonal
# ΔH_f (0 K) ... 551 meV per atom
data_Hf2HgGeAu
_chemical_formula_sum 'Hf2 Hg1 Ge1 Au1'
_symmetry_space_group_name_H-M 'P 1'
_symmetry_Int_Tables_number 1
_cell_length_a 4.6026
_cell_length_b 5.1461
_cell_length_c 5.1461
_cell_angle_alpha 90.00
_cell_angle_beta 90.00
_cell_angle_gamma 90.00
loop_
_symmetry_equiv_pos_as_xyz
'x,y,z'
loop_
_atom_site_label
_atom_site_type_symbol
_atom_site_fract_x
_atom_site_fract_y
_atom_site_fract_z
Au1 Au 0.0000 0.0000 0.0000
Hf1 Hf 0.0000 0.0000 0.5000
Hf2 Hf 0.0000 0.5000 0.0000
Ge1 Ge 0.5000 0.0000 0.0000
Hg1 Hg 0.5000 0.5000 0.5000



| no. | Fermi-level density of states (states/eV per atom) | spin magnetization (μB/cell) |
| --- | --- | --- |
| 1 | 0.831 | 0.0 |
| 2 | 0.293 | 0.0 |
| 3 | 0.000 | 0.0 |
| 4 | 0.111 | 0.0 |
| 5 | 0.337 | 4.4 |
| 6 | 1.175 | 0.0 |
| 7 | 0.137 | 10.9 |
| 8 | 0.583 | 0.0 |